(1)
# Pr2NdHoTm4 (GGA-PBE, relaxed)
data_Pr2NdHoTm4
_chemical_formula_sum 'Pr8 Nd4 Ho4 Tm16'
_space_group_name_H-M_alt 'I m m a'
_space_group_IT_number 74
_space_group_name_Hall '-I 2b 2'
_cell_length_a 6.7871
_cell_length_b 11.8492
_cell_length_c 13.2324
_cell_angle_alpha 90.00
_cell_angle_beta 90.00
_cell_angle_gamma 90.00
loop_
_atom_site_label
_atom_site_fract_x
_atom_site_fract_y
_atom_site_fract_z
Pr1 0.0000 0.0000 0.0000
Pr2 0.2500 0.2500 0.2500
Nd1 0.0000 0.0000 0.5000
Ho1 0.2500 0.2500 0.7500
Tm1 0.0000 0.0052 0.7500
Tm2 0.2499 0.2500 0.5050
# - N(E_F): 19.3 states/eV/f.u.
# - Crystal system: orthorhombic
# - Raw total energy: -0.1538 hartree per atom
# - Energy relative to the elements: 0.41 eV per atom

***

(2)
# PrNdHo2Tm2 (GGA-PBE, relaxed)
data_PrNdHo2Tm2
_chemical_formula_sum 'Pr2 Nd2 Ho4 Tm4'
_space_group_name_H-M_alt 'P n n m'
_space_group_IT_number 58
_cell_length_a 6.9360
_cell_length_b 9.8212
_cell_length_c 5.6638
_cell_angle_alpha 90.00
_cell_angle_beta 90.00
_cell_angle_gamma 90.00
loop_
_space_group_symop_operation_xyz
'x,y,z'
'-x,-y,-z'
'-x,-y,z'
'x,y,-z'
'x+1/2,-y+1/2,-z+1/2'
'-x+1/2,y+1/2,z+1/2'
'-x+1/2,y+1/2,-z+1/2'
'x+1/2,-y+1/2,z+1/2'
loop_
_atom_site_label
_atom_site_fract_x
_atom_site_fract_y
_atom_site_fract_z
Pr1 0.0000 0.0000 0.0000
Nd1 0.0000 0.5000 0.5000
Ho1 0.2502 0.1667 0.5000
Tm1 0.2498 0.3336 0.0000
# - N(E_F): 9.1 states/eV/f.u.
# - Crystal system: orthorhombic
# - Raw total energy: -0.1665 hartree per atom
# - Energy relative to the elements: 0.08 eV per atom